Material: BaYNi4
Method: DFT, PBE-GGA
State: relaxed

Cell lengths 5.235, 5.235, 5.235 Å; angles 60.00, 60.00, 60.00 degrees
Atoms (fractional coordinates):
Ba1 0.000 0.000 0.000
Y1 0.750 0.750 0.750
Ni1 0.870 0.377 0.377
Ni2 0.377 0.377 0.870
Ni3 0.377 0.870 0.377
Ni4 0.377 0.377 0.377

Output
**Crystal system**: cubic
**Density**: 7548 kg/m3


Material: Ba2YNi
Method: DFT, PBE-GGA
State: relaxed

Cell lengths 5.655, 5.655, 5.655 Å; angles 60.00, 60.00, 60.00 degrees
Atoms (fractional coordinates):
Ba1 0.000 0.000 0.000
Ba2 0.250 0.250 0.250
Ni1 0.500 0.500 0.500
Y1 0.750 0.750 0.750

Output
**Crystal system**: cubic
**Density**: 5483 kg/m3
**Energy relative to the lowest polymorph listed for this composition**: 494 meV/atom


Material: BaY2Ni
Method: DFT, PBE-GGA
State: relaxed

Cell lengths 5.248, 5.248, 4.096 Å; angles 90.00, 90.00, 90.00 degrees
Atoms (fractional coordinates):
Ba1 0.500 0.000 0.500
Ni1 0.000 0.500 0.500
Y1 0.000 0.000 0.000
Y2 0.500 0.500 0.000

Output
**Crystal system**: tetragonal
**Density**: 5503 kg/m3
**Energy relative to the lowest polymorph listed for this composition**: 523 meV/atom


Material: Ba2YNi
Method: DFT, PBE-GGA
State: relaxed

Cell lengths 7.148, 7.148, 6.284 Å; angles 63.95, 63.95, 31.46 degrees
Atoms (fractional coordinates):
Ba1 0.995 0.995 0.006
Ba2 0.815 0.815 0.686
Ni1 0.521 0.521 0.476
Y1 0.169 0.169 0.332

Output
**Crystal system**: monoclinic
**Density**: 4702 kg/m3
**Energy relative to the lowest polymorph listed for this composition**: 103 meV/atom


Material: BaY2Ni
Method: DFT, PBE-GGA
State: relaxed

Cell lengths 3.533, 3.532, 10.381 Å; angles 70.14, 90.00, 90.00 degrees
Atoms (fractional coordinates):
Ba1 0.500 0.250 0.250
Ni1 0.500 0.750 0.750
Y1 0.000 0.089 0.911
Y2 0.000 0.411 0.589

Output
**Crystal system**: tetragonal
**Density**: 5097 kg/m3
**Energy relative to the lowest polymorph listed for this composition**: 15 meV/atom


Material: BaYNi
Method: DFT, PBE-GGA
State: relaxed

Cell lengths 3.916, 4.210, 11.933 Å; angles 90.00, 99.41, 90.01 degrees
Atoms (fractional coordinates):
Ba1 0.482 0.648 0.150
Ba2 0.133 0.148 0.449
Y1 0.753 0.649 0.687
Y2 0.865 0.149 0.913
Ni1 0.342 0.650 0.864
Ni2 0.278 0.150 0.736

Output
**Crystal system**: triclinic
**Density**: 4875 kg/m3
**Energy relative to the lowest polymorph listed for this composition**: 0 meV/atom


Material: BaY4Ni
Method: DFT, PBE-GGA
State: relaxed

Cell lengths 6.603, 6.603, 6.603 Å; angles 60.00, 60.00, 60.00 degrees
Each line ends with the local moment (μB).
Atoms (fractional coordinates):
Ba1 0.750 0.750 0.750  0.04
Y1 0.879 0.374 0.374  0.07
Y2 0.374 0.374 0.879  0.07
Y3 0.374 0.879 0.374  0.07
Y4 0.374 0.374 0.374  0.07
Ni1 0.000 0.000 0.000  -0.13

Output
**Crystal system**: cubic
**Density**: 4500 kg/m3


Material: Ba3Zn4Ni2
Method: DFT, PBE-GGA
State: relaxed

Cell lengths 4.322, 6.364, 9.668 Å; angles 108.88, 90.00, 109.85 degrees
Atoms (fractional coordinates):
Ba1 0.605 0.210 0.686
Ba2 0.000 0.000 0.000
Ba3 0.395 0.790 0.314
Zn1 0.726 0.453 0.070
Zn2 0.274 0.547 0.930
Zn3 0.832 0.664 0.569
Zn4 0.168 0.336 0.431
Ni1 0.683 0.365 0.304
Ni2 0.317 0.635 0.696

Output
**Crystal system**: monoclinic
**Density**: 5594 kg/m3


Material: BaZnNi3
Method: DFT, PBE-GGA
State: relaxed

Cell lengths 4.599, 4.599, 4.599 Å; angles 90.00, 90.00, 90.00 degrees
Atoms (fractional coordinates):
Ni1 0.000 0.500 0.000
Ni2 0.000 0.000 0.500
Ni3 0.500 0.000 0.000
Zn1 0.000 0.000 0.000
Ba1 0.500 0.500 0.500

Output
**Crystal system**: cubic
**Density**: 6467 kg/m3
**Energy relative to the lowest polymorph listed for this composition**: 333 meV/atom


Material: Ba2ZnNi2
Method: DFT, PBE-GGA
State: relaxed

Cell lengths 3.637, 3.637, 10.183 Å; angles 79.71, 79.71, 90.00 degrees
Atoms (fractional coordinates):
Ni1 0.750 0.250 0.500
Ni2 0.250 0.750 0.500
Zn1 0.000 0.000 0.000
Ba1 0.378 0.378 0.245
Ba2 0.622 0.622 0.755

Output
**Crystal system**: tetragonal
**Density**: 5828 kg/m3


Material: Ba4Zn2Ni
Method: DFT, PBE-GGA
State: relaxed

Cell lengths 6.164, 6.164, 9.071 Å; angles 70.14, 70.14, 90.00 degrees
Atoms (fractional coordinates):
Ni1 0.000 0.000 0.000
Zn1 0.590 0.590 0.820
Zn2 0.410 0.410 0.180
Ba1 0.805 0.805 0.391
Ba2 0.195 0.195 0.609
Ba3 0.000 0.500 0.000
Ba4 0.500 0.000 0.000

Output
**Crystal system**: tetragonal
**Density**: 4058 kg/m3


Material: Ba6ZnNi
Method: DFT, PBE-GGA
State: relaxed

Cell lengths 7.927, 7.927, 15.252 Å; angles 90.00, 90.00, 120.00 degrees
Atoms (fractional coordinates):
Ba1 0.322 0.316 0.380
Ba2 0.678 0.684 0.620
Ba3 0.994 0.678 0.380
Ba4 0.322 0.006 0.120
Ba5 0.006 0.322 0.620
Ba6 0.678 0.994 0.880
Ba7 0.684 0.006 0.380
Ba8 0.994 0.316 0.120
Ba9 0.316 0.994 0.620
Ba10 0.006 0.684 0.880
Ba11 0.684 0.678 0.120
Ba12 0.316 0.322 0.880
Zn1 0.333 0.667 0.250
Zn2 0.667 0.333 0.750
Ni1 0.000 0.000 0.500
Ni2 0.000 0.000 0.000

Output
**Crystal system**: trigonal
**Density**: 3794 kg/m3


| no. | energy relative to the elements (meV/atom) |
| --- | --- |
| 1 | -41.4 |
| 2 | 500.8 |
| 3 | 452.4 |
| 4 | 109.3 |
| 5 | -55.9 |
| 6 | -171.5 |
| 7 | 702.4 |
| 8 | -111.6 |
| 9 | 374.4 |
| 10 | 231.2 |
| 11 | 43.2 |
| 12 | -15.4 |